No. 1
{"formula": "V2Pd2Ru3", "functional": "PBE", "state": "optimized geometry", "spacegroup": "Cmmm", "e_form_mev_per_atom": -80, "lattice_angstrom": [[1.358, -13.645, 0.000], [1.358, 13.645, 0.000], [0.000, 0.000, 2.720]], "species": ["V", "V", "Pd", "Pd", "Ru", "Ru", "Ru"], "fractional_positions": [[0.137, 0.863, 0.000], [0.863, 0.137, 0.000], [0.295, 0.705, 0.500], [0.705, 0.295, 0.500], [0.000, 0.000, 0.000], [0.430, 0.570, 0.500], [0.570, 0.430, 0.500]]}



No. 2
{"formula": "VPdRu", "functional": "PBE", "state": "optimized geometry", "spacegroup": "P2_1/m", "polymorph_energy_ev_per_atom": 0.058, "e_form_mev_per_atom": -131, "lattice_angstrom": [[2.743, 0.000, 0.000], [0.000, 4.275, 0.000], [-0.262, 0.000, 7.305]], "species": ["V", "V", "Pd", "Pd", "Ru", "Ru"], "fractional_positions": [[0.177, 0.250, 0.230], [0.823, 0.750, 0.770], [0.254, 0.750, 0.438], [0.746, 0.250, 0.562], [0.252, 0.250, 0.903], [0.748, 0.750, 0.097]]}



No. 3
{"formula": "V4Pd2Ru", "functional": "PBE", "state": "optimized geometry", "spacegroup": "I4/mmm", "e_form_mev_per_atom": 728, "lattice_angstrom": [[-2.270, 2.270, 6.324], [2.270, -2.270, 6.324], [2.270, 2.270, -6.324]], "species": ["V", "V", "V", "V", "Pd", "Pd", "Ru"], "fractional_positions": [[0.000, 0.500, 0.500], [0.190, 0.190, 0.000], [0.500, 0.000, 0.500], [0.810, 0.810, 0.000], [0.387, 0.387, 0.000], [0.613, 0.613, 0.000], [0.000, 0.000, 0.000]]}



No. 4
{"formula": "VPdRu2", "functional": "PBE", "state": "optimized geometry", "spacegroup": "P4/mmm", "polymorph_energy_ev_per_atom": 0.000, "e_form_mev_per_atom": -107, "lattice_angstrom": [[3.846, 0.000, 0.000], [0.000, 3.846, 0.000], [0.000, 0.000, 3.784]], "species": ["V", "Pd", "Ru", "Ru"], "fractional_positions": [[0.000, 0.000, 0.000], [0.500, 0.500, 0.000], [0.000, 0.500, 0.500], [0.500, 0.000, 0.500]]}



No. 5
{"formula": "VPdRu2", "functional": "PBE", "state": "optimized geometry", "spacegroup": "P4/mmm", "polymorph_energy_ev_per_atom": 0.110, "e_form_mev_per_atom": 3, "lattice_angstrom": [[2.910, 0.000, 0.000], [0.000, 2.910, 0.000], [0.000, 0.000, 6.813]], "species": ["V", "Pd", "Ru", "Ru"], "fractional_positions": [[0.000, 0.000, 0.000], [0.000, 0.000, 0.500], [0.500, 0.500, 0.215], [0.500, 0.500, 0.785]]}



No. 6
{"formula": "VPdRu", "functional": "PBE", "state": "optimized geometry", "spacegroup": "P2_1/m", "polymorph_energy_ev_per_atom": 0.047, "e_form_mev_per_atom": -142, "lattice_angstrom": [[3.605, 0.000, 0.000], [0.000, 3.870, 0.000], [-1.806, 0.000, 6.078]], "species": ["V", "V", "Pd", "Pd", "Ru", "Ru"], "fractional_positions": [[0.082, 0.250, 0.168], [0.918, 0.750, 0.832], [0.253, 0.750, 0.505], [0.747, 0.250, 0.495], [0.418, 0.250, 0.839], [0.582, 0.750, 0.161]]}



Number 1: V 100.8 Å³ per cell. Number 2: V 85.6 Å³ per cell. Number 3: V 130.3 Å³ per cell. Number 4: V 56.0 Å³ per cell. Number 5: V 57.7 Å³ per cell. Number 6: V 84.8 Å³ per cell.